## P
The following is a PBE calculation of a relaxed structure of Ta2ZnCd, from Alexandria via LeMat-Bulk.

a = 9.8325 Å, b = 2.8743 Å, c = 5.2529 Å
α = 90.00°, β = 100.87°, γ = 90.00°
With the nearest neighbours (Å) after each atom.
Space group Cm (No. 8)
Unique sites:
Ta1 0.0000 0.0000 0.0000 (multiplicity 2)  5 Ta 2.77-2.93, 2 Zn 2.97, 4 Cd 2.99-3.00
Ta2 0.2388 0.5000 0.1900 (multiplicity 2)  5 Ta 2.77-2.93, 4 Zn 2.92-3.08, 1 Cd 3.09
Zn1 0.2540 0.0000 0.7131 (multiplicity 2)  3 Cd 2.86-2.91, 2 Zn 2.87, 7 Ta 2.92-3.15
Cd1 0.0007 0.5000 0.4996 (multiplicity 2)  3 Zn 2.86-2.91, 2 Cd 2.87, 7 Ta 2.99-3.12

---

## Q
The following is a PBE calculation of a relaxed structure of Ta2ZnCd, from Alexandria via LeMat-Bulk.

a = 2.8471 Å, b = 2.8471 Å, c = 8.8784 Å
α = 90.00°, β = 90.00°, γ = 90.00°
With the nearest neighbours (Å) after each atom.
Space group P4mm (No. 99)
Unique sites:
Ta1 0.0000 0.0000 0.0000 (multiplicity 1)  8 Ta 2.85-3.05, 4 Cd 3.11
Ta2 0.5000 0.5000 0.2573 (multiplicity 1)  8 Ta 2.85-3.05, 4 Zn 2.88
Zn1 0.0000 0.0000 0.4892 (multiplicity 1)  4 Zn 2.85, 4 Ta 2.88, 4 Cd 2.95
Cd1 0.5000 0.5000 0.7325 (multiplicity 1)  4 Cd 2.85, 4 Zn 2.95, 4 Ta 3.11

---

## R
The following is a PBE calculation of a relaxed structure of Ta2ZnCd, from Alexandria via LeMat-Bulk.

a = 3.9876 Å, b = 3.9876 Å, c = 4.4518 Å
α = 90.00°, β = 90.00°, γ = 90.00°
With the nearest neighbours (Å) after each atom.
Space group P4/mmm (No. 123)
Unique sites:
Ta1 0.0000 0.5000 0.0000 (multiplicity 2)  4 Ta 2.82, 4 Cd 2.99, 4 Zn 2.99
Zn1 0.0000 0.0000 0.5000 (multiplicity 1)  4 Cd 2.82, 8 Ta 2.99
Cd1 0.5000 0.5000 0.5000 (multiplicity 1)  4 Zn 2.82, 8 Ta 2.99

---

What should be chosen as the most stable of them? Choose Q.

---

## P
The following is a PBE calculation of a relaxed structure of Ta2ZnCd, from Alexandria via LeMat-Bulk.

a = 6.5620 Å, b = 6.5620 Å, c = 6.5620 Å
α = 90.00°, β = 90.00°, γ = 90.00°
With the nearest neighbours (Å) after each atom.
Space group Fm-3m (No. 225)
Unique sites:
Ta1 0.2500 0.2500 0.2500 (multiplicity 8)  4 Cd 2.84, 4 Zn 2.84
Zn1 0.0000 0.0000 0.0000 (multiplicity 4)  8 Ta 2.84
Cd1 0.0000 0.0000 0.5000 (multiplicity 4)  8 Ta 2.84

---

## Q
The following is a PBE calculation of a relaxed structure of Ta2ZnCd, from Alexandria via LeMat-Bulk.

a = 3.0473 Å, b = 4.9713 Å, c = 9.4743 Å
α = 90.00°, β = 90.00°, γ = 90.00°
With the nearest neighbours (Å) after each atom.
Space group Imm2 (No. 44)
Unique sites:
Ta1 0.0000 0.0000 0.0000 (multiplicity 2)  2 Zn 2.77, 4 Ta 2.79-3.05, 4 Cd 2.92
Ta2 0.0000 0.5000 0.2538 (multiplicity 2)  4 Ta 2.79-3.05, 4 Zn 2.92, 2 Cd 2.99
Zn1 0.0000 0.5000 0.7444 (multiplicity 2)  2 Cd 2.72, 6 Ta 2.77-2.92
Cd1 0.0000 0.0000 0.4819 (multiplicity 2)  2 Zn 2.72, 6 Ta 2.92-2.99

---

## R
The following is a PBE calculation of a relaxed structure of Ta2ZnCd, from Alexandria via LeMat-Bulk.

a = 2.8839 Å, b = 4.2623 Å, c = 5.7451 Å
α = 90.00°, β = 91.16°, γ = 90.00°
With the nearest neighbours (Å) after each atom.
Space group P2/m (No. 10)
Unique sites:
Ta1 0.0083 0.0000 0.2595 (multiplicity 2)  4 Ta 2.76-2.98, 4 Zn 2.90-2.95, 4 Cd 2.97-2.98
Zn1 0.5000 0.5000 0.5000 (multiplicity 1)  2 Cd 2.87, 2 Zn 2.88, 8 Ta 2.90-2.95
Cd1 0.5000 0.5000 0.0000 (multiplicity 1)  2 Zn 2.87, 2 Cd 2.88, 8 Ta 2.97-2.98

---

What should be chosen as the most stable of them? Choose R.

---

## P
The following is a PBE calculation of a relaxed structure of TaZnCd2, from Alexandria via LeMat-Bulk.

a = 2.8878 Å, b = 4.2242 Å, c = 6.2151 Å
α = 90.00°, β = 90.00°, γ = 90.00°
With the nearest neighbours (Å) after each atom.
Space group Pmm2 (No. 25)
Unique sites:
Ta1 0.0000 0.0000 0.0000 (multiplicity 1)  4 Zn 2.86, 2 Ta 2.89, 5 Cd 2.96-3.02
Zn1 0.5000 0.5000 0.2040 (multiplicity 1)  4 Ta 2.86, 5 Cd 2.87-3.07, 2 Zn 2.89
Cd1 0.0000 0.0000 0.4761 (multiplicity 1)  6 Cd 2.89-3.04, 1 Ta 2.96, 4 Zn 3.07
Cd2 0.5000 0.5000 0.7414 (multiplicity 1)  1 Zn 2.87, 6 Cd 2.89-3.04, 4 Ta 3.02

---

## Q
The following is a PBE calculation of a relaxed structure of TaZnCd2, from Alexandria via LeMat-Bulk.

a = 2.9780 Å, b = 2.9780 Å, c = 29.7674 Å
α = 90.00°, β = 90.00°, γ = 120.00°
With the nearest neighbours (Å) after each atom.
Space group R-3m (No. 166, hexagonal axes)
Unique sites:
Ta1 0.0000 0.0000 0.0000 (multiplicity 3)  6 Ta 2.98, 6 Cd 3.08
Zn1 0.0000 0.0000 0.5000 (multiplicity 3)  6 Cd 2.96, 6 Zn 2.98
Cd1 0.0000 0.0000 0.2475 (multiplicity 6)  3 Zn 2.96, 6 Cd 2.98, 3 Ta 3.08

---

## R
The following is a PBE calculation of a relaxed structure of TaZnCd2, from Alexandria via LeMat-Bulk.

a = 2.8430 Å, b = 5.1346 Å, c = 10.2846 Å
α = 90.00°, β = 90.00°, γ = 90.00°
With the nearest neighbours (Å) after each atom.
Space group Immm (No. 71)
Unique sites:
Ta1 0.0000 0.0000 0.0000 (multiplicity 2)  2 Ta 2.84, 4 Zn 2.93, 4 Cd 3.06
Zn1 0.0000 0.0000 0.5000 (multiplicity 2)  4 Cd 2.82, 2 Zn 2.84, 4 Ta 2.93
Cd1 0.0000 0.5000 0.2369 (multiplicity 4)  2 Zn 2.82, 6 Cd 2.84-2.95, 2 Ta 3.06

---

What should be chosen as the most stable of them? Choose Q.

---

## P
The following is a PBE calculation of a relaxed structure of TaZnCd2, from Alexandria via LeMat-Bulk.

a = 6.6987 Å, b = 6.6987 Å, c = 6.6987 Å
α = 90.00°, β = 90.00°, γ = 90.00°
With the nearest neighbours (Å) after each atom.
Space group F-43m (No. 216)
Unique sites:
Ta1 0.0000 0.0000 0.0000 (multiplicity 4)  4 Cd 2.90, 4 Zn 2.90
Zn1 0.2500 0.2500 0.2500 (multiplicity 4)  4 Ta 2.90, 4 Cd 2.90
Cd1 0.0000 0.0000 0.5000 (multiplicity 4)  4 Zn 2.90, 4 Cd 2.90
Cd2 0.2500 0.2500 0.7500 (multiplicity 4)  4 Cd 2.90, 4 Ta 2.90

---

## Q
The following is a PBE calculation of a relaxed structure of TaZnCd2, from Alexandria via LeMat-Bulk.

a = 2.9077 Å, b = 4.3736 Å, c = 5.9571 Å
α = 90.00°, β = 90.00°, γ = 90.00°
With the nearest neighbours (Å) after each atom.
Space group Pmmm (No. 47)
Unique sites:
Ta1 0.0000 0.0000 0.0000 (multiplicity 1)  2 Ta 2.91, 2 Zn 2.98, 8 Cd 3.02
Zn1 0.0000 0.0000 0.5000 (multiplicity 1)  2 Zn 2.91, 2 Ta 2.98, 8 Cd 3.02
Cd1 0.5000 0.5000 0.2499 (multiplicity 2)  4 Cd 2.91-2.98, 4 Ta 3.02, 4 Zn 3.02

---

## R
The following is a PBE calculation of a relaxed structure of TaZnCd2, from Alexandria via LeMat-Bulk.

a = 4.2174 Å, b = 4.2174 Å, c = 8.4810 Å
α = 90.00°, β = 90.00°, γ = 90.00°
With the nearest neighbours (Å) after each atom.
Space group I-4m2 (No. 119)
Unique sites:
Ta1 0.0000 0.0000 0.0000 (multiplicity 2)  8 Cd 2.98-2.99, 4 Zn 2.99
Zn1 0.0000 0.5000 0.7500 (multiplicity 2)  8 Cd 2.98-2.99, 4 Ta 2.99
Cd1 0.0000 0.0000 0.5000 (multiplicity 2)  4 Ta 2.98, 4 Cd 2.99, 4 Zn 2.99
Cd2 0.0000 0.5000 0.2500 (multiplicity 2)  4 Zn 2.98, 4 Cd 2.99, 4 Ta 2.99

---

## S
The following is a PBE calculation of a relaxed structure of TaZnCd2, from Alexandria via LeMat-Bulk.

a = 7.5475 Å, b = 7.5475 Å, c = 5.6313 Å
α = 90.00°, β = 90.00°, γ = 90.00°
With the nearest neighbours (Å) after each atom.
Space group I-42d (No. 122)
Unique sites:
Ta1 0.0000 0.0000 0.0000 (multiplicity 4)  2 Zn 2.82, 4 Cd 2.89
Zn1 0.0000 0.0000 0.5000 (multiplicity 4)  4 Cd 2.63, 2 Ta 2.82
Cd1 0.2245 0.2500 0.6250 (multiplicity 8)  2 Zn 2.63, 2 Cd 2.84, 2 Ta 2.89

---

What should be chosen as the most stable of them? Choose Q.